Below is a relaxed MgMnAgF6 crystal, with properties calculated at the PBE with a Hubbard U level.

Results
theoretical density	3.971	g cm⁻³
SG	No. 163
DOS(E_F)	0.73	states/eV per atom
VASP energy	-4.830	eV per atom

a b c (Å): 5.2690 5.2690 10.4748
angles (deg): 90.00 90.00 120.00
Site moments in Bohr magnetons follow the coordinates.
Element x y z (fractional)
F (0.3756, 0.3621, 0.3506)  0.00
Ag (0.0000, 0.0000, 0.5000)  0.00
F (0.0135, 0.6379, 0.8506)  0.00
F (0.3621, 0.3756, 0.8506)  0.00
F (0.9865, 0.6244, 0.3506)  0.00
Mn (0.3333, 0.6667, 0.7500)  1.93
F (0.0135, 0.3756, 0.6494)  0.00
Mg (0.6667, 0.3333, 0.7500)  0.00
Mg (0.3333, 0.6667, 0.2500)  0.00
F (0.9865, 0.3621, 0.1494)  0.00
F (0.3621, 0.9865, 0.6494)  0.00
F (0.6244, 0.6379, 0.6494)  0.00
Ag (0.0000, 0.0000, 0.0000)  0.00
F (0.3756, 0.0135, 0.1494)  0.00
F (0.6379, 0.6244, 0.1494)  0.00
Mn (0.6667, 0.3333, 0.2500)  1.93
F (0.6244, 0.9865, 0.8506)  0.00
F (0.6379, 0.0135, 0.3506)  0.00